Model w:
{"formula": "BaCoPd", "functional": "PBE", "state": "relaxed", "m_tot_mub_per_cell": 1.30, "rho_g_cm3": 6.79, "lattice": [[1.3386, -4.0786, 1.9435], [0.5098, -0.3280, 4.6729], [-3.0697, -2.5222, 2.5336]], "species": ["Ba", "Co", "Pd"], "fractional_positions": [[0.2500, 0.2500, 0.2500], [0.0000, 0.0000, 0.0000], [0.7500, 0.7500, 0.7500]]}

=====

Model x:
{"formula": "BaCoPd", "functional": "PBE", "state": "relaxed", "m_tot_mub_per_cell": 0.90, "rho_g_cm3": 6.32, "lattice": [[0.0000, 3.4127, 3.4127], [3.4127, 0.0000, 3.4127], [3.4127, 3.4127, 0.0000]], "species": ["Ba", "Co", "Pd"], "fractional_positions": [[0.0000, 0.0000, 0.0000], [0.2500, 0.2500, 0.2500], [0.7500, 0.7500, 0.7500]]}

=====

Stability summary: most stable model w, least stable model x.